Entry from Alexandria: a crystal of BaNiHg2 relaxed with PBEsol (meta-GGA SCAN).

## Properties
Formation enthalpy at 0 K = -3.5 kJ/mol of atoms
Total magnetization = 0.000 μB/f.u.
Raw total energy = -192.2 eV/cell

abc: 3.6302 3.6302 7.2910
angles: 90.00 90.00 90.00
Closest atoms and distances in Å follow each position.
Space group P4mm (No. 99)
Inequivalent atoms, fractional coordinates:
Ba 0.0000 0.0000 0.0000  5 Hg 3.16-3.47, 4 Ni 3.46
Ni 0.5000 0.5000 0.6812  5 Hg 2.63-2.70
Hg 0.0000 0.0000 0.5659  4 Ni 2.70
Hg 0.5000 0.5000 0.3210  1 Ni 2.63

---

Entry from Alexandria: a crystal of Ba2HgO relaxed with PBEsol (meta-GGA SCAN).

## Properties
Energy relative to the elements, uncorrected = -0.83 eV/atom
Energy above the most stable polymorph in this dataset = 733 meV per atom
Total magnetization = 1.179 μB/f.u.
Raw total energy = -627.3 eV/cell

abc: 7.6386 7.6386 7.6386
angles: 90.00 90.00 90.00
Closest atoms and distances in Å follow each position.
Space group Fm-3m (No. 225)
Inequivalent atoms, fractional coordinates:
Ba 0.2500 0.2500 0.2500  4 O 3.31, 4 Hg 3.31
Hg 0.0000 0.0000 0.0000  8 Ba 3.31
O 0.0000 0.0000 0.5000  8 Ba 3.31

---

Entry from Alexandria: a crystal of Ba2HgO relaxed with PBEsol (meta-GGA SCAN).

## Properties
Energy relative to the elements, uncorrected = -1.57 eV/atom
Energy above the most stable polymorph in this dataset = 0 meV per atom
Total magnetization = 0.000 μB/f.u.
Raw total energy = -639.0 eV/cell

abc: 7.5931 7.5931 9.3007
angles: 90.00 90.00 90.00
Closest atoms and distances in Å follow each position.
Space group I-42d (No. 122)
Inequivalent atoms, fractional coordinates:
Ba 0.1552 0.7500 0.1250  2 O 2.52
Hg 0.0000 0.0000 0.5000  4 Ba 3.44
O 0.0000 0.0000 0.0000  4 Ba 2.52

---

Entry from Alexandria: a crystal of BaHgPO2 relaxed with PBEsol (meta-GGA SCAN).

## Properties
Energy relative to the elements, uncorrected = -0.40 eV/atom
Total magnetization = 0.005 μB/f.u.
Raw total energy = -132.6 eV/cell

abc: 4.4665 4.4665 4.7514
angles: 90.00 90.00 90.00
Closest atoms and distances in Å follow each position.
Space group P4/mmm (No. 123)
Inequivalent atoms, fractional coordinates:
Ba 0.0000 0.0000 0.0000  4 P 3.16, 8 O 3.26
Hg 0.5000 0.5000 0.5000  4 O 2.23, 2 P 2.38
P 0.5000 0.5000 0.0000  2 Hg 2.38
O 0.0000 0.5000 0.5000  2 Hg 2.23

---

Entry from Alexandria: a crystal of BaHgRuO5 relaxed with PBEsol (meta-GGA SCAN).

## Properties
Energy relative to the elements, uncorrected = -1.50 eV/atom
Total magnetization = 2.000 μB/f.u.
Raw total energy = -1114.0 eV/cell

abc: 10.1592 10.1592 8.3956
angles: 90.00 90.00 120.00
Closest atoms and distances in Å follow each position.
Space group P6_3/m (No. 176)
Inequivalent atoms, fractional coordinates:
Ba 0.0000 0.0000 0.0000  6 O 2.79
Ba 0.3333 0.6667 0.0135  9 O 2.73-2.88
Hg 0.0136 0.6810 0.7500  2 O 2.04
Ru 0.0160 0.6715 0.2500  4 O 1.77-1.98
O 0.0877 0.2075 0.7500  1 Ru 1.98, 1 Hg 2.04
O 0.1113 0.7591 0.0707  1 Ru 1.77
O 0.1211 0.5494 0.2500  1 Ru 2.00, 1 Hg 2.04
O 0.1612 0.5005 0.7500  1 Ru 1.77

---

Entry from Alexandria: a crystal of Ba3SrHg4O8 relaxed with PBEsol (meta-GGA SCAN).

## Properties
Energy relative to the elements, uncorrected = -1.71 eV/atom
Total magnetization = 0.000 μB/f.u.
Raw total energy = -1472.6 eV/cell

abc: 6.7236 6.7236 25.0736
angles: 90.00 90.00 120.00
Closest atoms and distances in Å follow each position.
Space group P321 (No. 150)
Inequivalent atoms, fractional coordinates:
Ba 0.0000 0.0000 0.0000  6 O 2.65
Ba 0.3333 0.6667 0.0161  6 O 2.62-2.74
Ba 0.3333 0.6667 0.2338  6 O 2.68-2.73
Ba 0.3333 0.6667 0.5164  6 O 2.67-2.73
Ba 0.3333 0.6667 0.7323  6 O 2.67-2.74
Sr 0.0000 0.0000 0.2507  6 O 2.51
Sr 0.0000 0.0000 0.5000  6 O 2.51
Hg 0.1655 0.8211 0.8734  2 O 1.99
Hg 0.1702 0.3402 0.3753  2 O 1.99
O 0.0356 0.6845 0.9444  1 Hg 1.99
O 0.0419 0.7054 0.4471  1 Hg 1.99
O 0.0433 0.3364 0.8023  1 Hg 1.99
O 0.0426 0.3371 0.3033  1 Hg 1.99

---

Entry from Alexandria: a crystal of Ba3HgOs relaxed with PBEsol (meta-GGA SCAN).

## Properties
Formation enthalpy at 0 K = 22.2 kJ/mol of atoms
Total magnetization = 0.001 μB/f.u.
Raw total energy = -257.5 eV/cell

abc: 5.8624 5.8624 5.8624
angles: 90.00 90.00 90.00
Closest atoms and distances in Å follow each position.
Space group Pm-3m (No. 221)
Inequivalent atoms, fractional coordinates:
Ba 0.0000 0.0000 0.5000  2 Os 2.93
Hg 0.5000 0.5000 0.5000  12 Ba 4.15
Os 0.0000 0.0000 0.0000  6 Ba 2.93

---

Entry from Alexandria: a crystal of BaHgOs3 relaxed with PBEsol (meta-GGA SCAN).

## Properties
Formation enthalpy at 0 K = 241.9 kJ/mol of atoms
Total magnetization = 5.203 μB/f.u.
Raw total energy = -310.8 eV/cell

abc: 4.9891 4.9891 4.9891
angles: 90.00 90.00 90.00
Closest atoms and distances in Å follow each position.
Space group Pm-3m (No. 221)
Inequivalent atoms, fractional coordinates:
Ba 0.0000 0.0000 0.0000  12 Os 3.53
Hg 0.5000 0.5000 0.5000  6 Os 2.49
Os 0.0000 0.5000 0.5000  2 Hg 2.49

---

Entry from Alexandria: a crystal of BaHg3P relaxed with PBEsol (meta-GGA SCAN).

## Properties
Formation enthalpy at 0 K = 72.7 kJ/mol of atoms
Total magnetization = 1.050 μB/f.u.
Raw total energy = -250.7 eV/cell

abc: 6.2021 6.2021 6.2021
angles: 90.00 90.00 90.00
Closest atoms and distances in Å follow each position.
Space group Pm-3m (No. 221)
Inequivalent atoms, fractional coordinates:
Ba 0.0000 0.0000 0.0000  6 Hg 3.10
Hg 0.0000 0.0000 0.5000  2 Ba 3.10
P 0.5000 0.5000 0.5000  12 Hg 4.39

---

Entry from Alexandria: a crystal of BaHgP2 relaxed with PBEsol (meta-GGA SCAN).

## Properties
Formation enthalpy at 0 K = 9.9 kJ/mol of atoms
Total magnetization = 0.000 μB/f.u.
Raw total energy = -512.4 eV/cell

abc: 7.2688 7.2688 7.2688
angles: 90.00 90.00 90.00
Closest atoms and distances in Å follow each position.
Space group F-43m (No. 216)
Inequivalent atoms, fractional coordinates:
Ba 0.0000 0.0000 0.0000  4 Hg 3.15, 4 P 3.15
Hg 0.2500 0.2500 0.7500  4 Ba 3.15, 4 P 3.15
P 0.0000 0.0000 0.5000  4 P 3.15, 4 Hg 3.15
P 0.2500 0.2500 0.2500  4 Ba 3.15, 4 P 3.15

---

Entry from Alexandria: a crystal of Ba2HgPb relaxed with PBEsol (meta-GGA SCAN).

## Properties
Formation enthalpy at 0 K = -70.9 kJ/mol of atoms
Energy above the most stable polymorph in this dataset = 61 meV per atom
Total magnetization = 0.000 μB/f.u.
Raw total energy = -226.0 eV/cell

abc: 4.1421 5.7687 5.9977
angles: 90.00 90.00 90.00
Closest atoms and distances in Å follow each position.
Space group Pmm2 (No. 25)
Inequivalent atoms, fractional coordinates:
Ba 0.0000 0.0000 0.0000  4 Hg 3.56-3.73, 4 Pb 3.58, 2 Ba 3.90
Ba 0.0000 0.5000 0.4388  4 Pb 3.55-3.74, 4 Hg 3.58, 2 Ba 3.90
Hg 0.5000 0.0000 0.5180  8 Ba 3.56-3.73, 2 Pb 3.76
Pb 0.5000 0.5000 0.9189  8 Ba 3.55-3.74, 2 Hg 3.76

---

Entry from Alexandria: a crystal of BaHg4Pb relaxed with PBEsol (meta-GGA SCAN).

## Properties
Formation enthalpy at 0 K = -30.6 kJ/mol of atoms
Total magnetization = 0.000 μB/f.u.
Raw total energy = -1559.6 eV/cell

abc: 8.6668 8.6668 8.6668
angles: 90.00 90.00 90.00
Closest atoms and distances in Å follow each position.
Space group F-43m (No. 216)
Inequivalent atoms, fractional coordinates:
Ba 0.0000 0.0000 0.0000  12 Hg 3.59, 4 Pb 3.75
Hg 0.1246 0.1246 0.3754  6 Hg 3.05-3.08
Pb 0.2500 0.2500 0.7500  12 Hg 3.59, 4 Ba 3.75

---

Entry from Alexandria: a crystal of BaHgPb4 relaxed with PBEsol (meta-GGA SCAN).

## Properties
Formation enthalpy at 0 K = -29.7 kJ/mol of atoms
Total magnetization = 0.000 μB/f.u.
Raw total energy = -1650.7 eV/cell

abc: 9.1480 9.1480 9.1480
angles: 90.00 90.00 90.00
Closest atoms and distances in Å follow each position.
Space group F-43m (No. 216)
Inequivalent atoms, fractional coordinates:
Ba 0.0000 0.0000 0.0000  12 Pb 3.79, 4 Hg 3.96
Hg 0.2500 0.2500 0.2500  12 Pb 3.79, 4 Ba 3.96
Pb 0.1252 0.1252 0.6252  6 Pb 3.23-3.24

---

Entry from Alexandria: a crystal of BaHg2Pb2 relaxed with PBEsol (meta-GGA SCAN).

## Properties
Formation enthalpy at 0 K = -42.4 kJ/mol of atoms
Total magnetization = 0.000 μB/f.u.
Raw total energy = -659.3 eV/cell

abc: 5.2401 5.2401 11.4314
angles: 90.00 90.00 90.00
Closest atoms and distances in Å follow each position.
Space group I4/mmm (No. 139)
Inequivalent atoms, fractional coordinates:
Ba 0.0000 0.0000 0.0000  8 Hg 3.88, 10 Pb 3.99-4.24
Hg 0.0000 0.5000 0.2500  4 Pb 2.96
Pb 0.0000 0.0000 0.3710  1 Pb 2.95, 4 Hg 2.96

---

Entry from Alexandria: a crystal of Ba2HgPb relaxed with PBEsol (meta-GGA SCAN).

## Properties
Formation enthalpy at 0 K = -76.9 kJ/mol of atoms
Energy above the most stable polymorph in this dataset = 0 meV per atom
Total magnetization = 0.000 μB/f.u.
Raw total energy = -904.9 eV/cell

abc: 8.3441 8.3441 8.3441
angles: 90.00 90.00 90.00
Closest atoms and distances in Å follow each position.
Space group Fm-3m (No. 225)
Inequivalent atoms, fractional coordinates:
Ba 0.2500 0.2500 0.2500  4 Hg 3.61, 4 Pb 3.61
Hg 0.0000 0.0000 0.0000  8 Ba 3.61
Pb 0.0000 0.0000 0.5000  8 Ba 3.61

---

Entry from Alexandria: a crystal of BaHgPb relaxed with PBEsol (meta-GGA SCAN).

## Properties
Formation enthalpy at 0 K = -65.1 kJ/mol of atoms
Total magnetization = 0.002 μB/f.u.
Raw total energy = -185.5 eV/cell

abc: 4.9696 4.9696 4.8238
angles: 90.00 90.00 120.00
Closest atoms and distances in Å follow each position.
Space group P3m1 (No. 156)
Inequivalent atoms, fractional coordinates:
Ba 0.0000 0.0000 0.0000  6 Hg 3.60-3.91, 6 Pb 3.65-3.85
Hg 0.3333 0.6667 0.4499  3 Pb 2.90
Pb 0.6667 0.3333 0.5322  3 Hg 2.90

---

Entry from Alexandria: a crystal of BaHgPb relaxed with PBEsol (meta-GGA SCAN).

## Properties
Formation enthalpy at 0 K = -68.3 kJ/mol of atoms
Total magnetization = 0.000 μB/f.u.
Raw total energy = -742.5 eV/cell

abc: 11.9996 5.2409 8.4180
angles: 90.00 133.69 90.00
Closest atoms and distances in Å follow each position.
Space group C2/m (No. 12)
Inequivalent atoms, fractional coordinates:
Ba 0.0466 0.0000 0.3027  6 Pb 3.55-3.94, 6 Hg 3.57-3.81
Hg 0.1606 0.5000 0.7067  1 Hg 2.90, 3 Pb 3.05-3.19
Pb 0.1632 0.5000 0.0885  3 Hg 3.05-3.19, 1 Pb 3.08

---

Entry from Alexandria: a crystal of BaHgPb relaxed with PBEsol (meta-GGA SCAN).

## Properties
Formation enthalpy at 0 K = -61.7 kJ/mol of atoms
Total magnetization = 0.000 μB/f.u.
Raw total energy = -741.7 eV/cell

abc: 7.4744 7.4744 7.4744
angles: 90.00 90.00 90.00
Closest atoms and distances in Å follow each position.
Space group F-43m (No. 216)
Inequivalent atoms, fractional coordinates:
Ba 0.0000 0.0000 0.0000  4 Hg 3.24
Hg 0.2500 0.2500 0.7500  4 Ba 3.24, 4 Pb 3.24
Pb 0.0000 0.0000 0.5000  4 Hg 3.24

---

Entry from Alexandria: a crystal of BaHg2Pd2 relaxed with PBEsol (meta-GGA SCAN).

## Properties
Formation enthalpy at 0 K = -43.7 kJ/mol of atoms
Total magnetization = 0.000 μB/f.u.
Raw total energy = -487.4 eV/cell

abc: 4.4973 4.4973 11.6598
angles: 90.00 90.00 90.00
Closest atoms and distances in Å follow each position.
Space group I4/mmm (No. 139)
Inequivalent atoms, fractional coordinates:
Ba 0.0000 0.0000 0.0000  8 Hg 3.48, 8 Pd 3.68
Hg 0.0000 0.0000 0.3791  4 Pd 2.71, 1 Hg 2.82
Pd 0.0000 0.5000 0.2500  4 Hg 2.71

---

Entry from Alexandria: a crystal of BaHgPt2 relaxed with PBEsol (meta-GGA SCAN).

## Properties
Formation enthalpy at 0 K = -52.3 kJ/mol of atoms
Total magnetization = 0.000 μB/f.u.
Raw total energy = -750.8 eV/cell

abc: 4.6819 4.6819 16.1639
angles: 90.00 90.00 120.00
Closest atoms and distances in Å follow each position.
Space group R-3m (No. 166, hexagonal axes)
Inequivalent atoms, fractional coordinates:
Ba 0.0000 0.0000 0.0000  2 Pt 3.04
Hg 0.0000 0.0000 0.5000  6 Pt 2.73
Pt 0.0000 0.0000 0.1881  3 Hg 2.73, 3 Pt 2.79, 1 Ba 3.04